A plane-wave DFT calculation with PBE+U was carried out for a relaxed structure of MnBF3.

Summary:
* polymorph energy (0 for the lowest one): 0.292 eV per atom
* SG: Pm-3m, No. 221
* spin magnetization: 5.48 μB per cell
* N(E_F): 2.0 states/eV/cell

Cell: 3.9217 3.9217 3.9217 Å, 90.00 90.00 90.00°
Last column: nearest neighbours and their distance in Å.
Fractional coordinates of all 5 atoms:
F 0.0000 0.0000 0.5000  2 B 1.96
B 0.0000 0.0000 0.0000  6 F 1.96
F 0.5000 0.0000 0.0000  2 B 1.96
Mn 0.5000 0.5000 0.5000  12 F 2.77
F 0.0000 0.5000 0.0000  2 B 1.96